## PrSmCo17 (SCAN)

Data for a crystal of PrSmCo17 relaxed with PBEsol.

Formation enthalpy at 0 K in eV per atom: 0.003
DFT total energy in eV/atom: -20.10
DOS at the Fermi energy in states/eV per atom: 0.839

Cell: 6.203 6.203 6.203 Å, 83.13 83.13 83.13°
Site moments in Bohr magnetons follow the coordinates.
Element x y z (fractional)
Pr: 0.654 0.654 0.654  -0.33
Co: 0.148 0.656 0.656  1.69
Co: 0.656 0.148 0.656  1.69
Co: 0.001 0.001 0.500  1.73
Co: 0.001 0.285 0.714  1.74
Co: 0.343 0.852 0.343  1.71
Co: 0.001 0.714 0.285  1.74
Co: 0.714 0.001 0.285  1.74
Co: 0.852 0.343 0.343  1.71
Co: 0.285 0.001 0.714  1.74
Co: 0.656 0.656 0.148  1.69
Co: 0.285 0.714 0.001  1.74
Co: 0.714 0.285 0.001  1.74
Co: 0.097 0.097 0.097  1.82
Co: 0.500 0.001 0.001  1.73
Co: 0.001 0.500 0.001  1.73
Co: 0.343 0.343 0.852  1.71
Co: 0.904 0.904 0.904  1.82
Sm: 0.344 0.344 0.344  -0.36

## KBaFe2 (SCAN)

Data for a crystal of KBaFe2 relaxed with PBEsol.

Relative energy among the computed polymorphs in eV/atom: 0.000
Formation enthalpy at 0 K in eV per atom: 0.766
DFT total energy in eV/atom: -20.27
DOS at the Fermi energy in states/eV per atom: 0.743

Cell: 3.743 3.743 9.590 Å, 89.78 101.49 119.97°
Site moments in Bohr magnetons follow the coordinates.
Element x y z (fractional)
Fe: 0.412 0.706 0.118  1.87
Fe: 0.078 0.039 0.117  -1.88
K: 0.933 0.463 0.397  0.00
Ba: 0.577 0.291 0.868  0.00

Q: Which of these has the highest DOS at the Fermi energy?
A: PrSmCo17

Q: The lowest DOS at the Fermi energy belongs to which entry?
A: KBaFe2

Q: Which of these has the highest DOS at the Fermi energy?
A: PrSmCo17